(1)
# GGA-PBE Cr2SiNi8, optimized geometry
data_Cr2SiNi8
_chemical_formula_sum 'Cr4 Si2 Ni16'
_symmetry_space_group_name_H-M 'I m m m'
_symmetry_Int_Tables_number 71
_symmetry_space_group_name_Hall '-I 2 2'
_cell_length_a 3.947
_cell_length_b 5.475
_cell_length_c 11.491
_cell_angle_alpha 90.00
_cell_angle_beta 90.00
_cell_angle_gamma 90.00
loop_
_atom_site_label
_atom_site_type_symbol
_atom_site_fract_x
_atom_site_fract_y
_atom_site_fract_z
Cr1 Cr 0.000 0.000 0.194
Si1 Si 0.000 0.000 0.500
Ni1 Ni 0.000 0.224 0.000
Ni2 Ni 0.000 0.281 0.361
Ni3 Ni 0.000 0.500 0.174
# E_tot = -142.89 eV for the cell shown

(2)
# GGA-PBE Tm2Cr2Co15, optimized geometry
data_Tm2Cr2Co15
_chemical_formula_sum 'Tm6 Cr6 Co45'
_symmetry_space_group_name_H-M 'R -3 m'
_symmetry_Int_Tables_number 166
_symmetry_space_group_name_Hall '-R 3 2"'
_cell_length_a 8.2672
_cell_length_b 8.2672
_cell_length_c 12.0925
_cell_angle_alpha 90.00
_cell_angle_beta 90.00
_cell_angle_gamma 120.00
loop_
_atom_site_label
_atom_site_type_symbol
_atom_site_fract_x
_atom_site_fract_y
_atom_site_fract_z
Tm1 Tm 0.0000 0.0000 0.1556
Cr1 Cr 0.0000 0.0000 0.4141
Co1 Co 0.0000 0.2970 0.5000
Co2 Co 0.0000 0.5000 0.0000
Co3 Co 0.0021 0.5011 0.3460
# E_tot = -409.11 eV for the cell shown
# Formation energy = -1.591 eV/f.u.

(3)
# GGA-PBE Pm2Pr8Pb, optimized geometry
data_Pm2Pr8Pb
_chemical_formula_sum 'Pm4 Pr16 Pb2'
_symmetry_space_group_name_H-M 'C 1 2/m 1'
_symmetry_Int_Tables_number 12
_symmetry_space_group_name_Hall '-C 2y'
_cell_length_a 18.767
_cell_length_b 5.099
_cell_length_c 8.244
_cell_angle_alpha 90.00
_cell_angle_beta 105.31
_cell_angle_gamma 90.00
loop_
_atom_site_label
_atom_site_type_symbol
_atom_site_fract_x
_atom_site_fract_y
_atom_site_fract_z
Pm1 Pm 0.224 0.000 0.133
Pr1 Pr 0.043 0.000 0.231
Pr2 Pr 0.090 0.500 0.941
Pr3 Pr 0.138 0.000 0.680
Pr4 Pr 0.177 0.500 0.408
Pb1 Pb 0.000 0.500 0.500
# ΔE to the lowest computed polymorph = 0.00 eV per formula unit
# E_tot = -104.69 eV for the cell shown
# Formation energy = -0.898 eV/f.u.

(4)
# GGA-PBE LiPu2TcN5, optimized geometry
data_LiPu2TcN5
_chemical_formula_sum 'Li4 Pu8 Tc4 N20'
_symmetry_space_group_name_H-M 'C m c 21'
_symmetry_Int_Tables_number 36
_symmetry_space_group_name_Hall 'C 2c -2'
_cell_length_a 3.267
_cell_length_b 12.784
_cell_length_c 9.618
_cell_angle_alpha 90.00
_cell_angle_beta 90.00
_cell_angle_gamma 90.00
loop_
_atom_site_label
_atom_site_type_symbol
_atom_site_fract_x
_atom_site_fract_y
_atom_site_fract_z
Li1 Li 0.000 0.024 0.000
Pu1 Pu 0.000 0.361 0.844
Pu2 Pu 0.000 0.388 0.221
Tc1 Tc 0.000 0.309 0.546
N1 N 0.000 0.006 0.300
N2 N 0.000 0.142 0.538
N3 N 0.000 0.190 0.908
N4 N 0.000 0.212 0.198
N5 N 0.000 0.445 0.599
# E_tot = -351.69 eV for the cell shown

(5)
# GGA-PBE Cd2InPdPb, optimized geometry
data_Cd2InPdPb
_chemical_formula_sum 'Cd2 In1 Pd1 Pb1'
_symmetry_space_group_name_H-M 'P 4/m m m'
_symmetry_Int_Tables_number 123
_symmetry_space_group_name_Hall '-P 4 2'
_cell_length_a 5.212
_cell_length_b 5.212
_cell_length_c 5.110
_cell_angle_alpha 90.00
_cell_angle_beta 90.00
_cell_angle_gamma 90.00
loop_
_atom_site_label
_atom_site_type_symbol
_atom_site_fract_x
_atom_site_fract_y
_atom_site_fract_z
Cd1 Cd 0.000 0.500 0.000
In1 In 0.000 0.000 0.500
Pd1 Pd 0.000 0.000 0.000
Pb1 Pb 0.500 0.500 0.500
# E_tot = -13.45 eV for the cell shown
# Formation energy = 0.024 eV/f.u.

(6)
# GGA-PBE B2C3, optimized geometry
data_B2C3
_chemical_formula_sum 'B8 C12'
_symmetry_space_group_name_H-M 'C 1 m 1'
_symmetry_Int_Tables_number 8
_symmetry_space_group_name_Hall 'C -2y'
_cell_length_a 8.683
_cell_length_b 2.544
_cell_length_c 6.481
_cell_angle_alpha 90.00
_cell_angle_beta 114.57
_cell_angle_gamma 90.00
loop_
_atom_site_label
_atom_site_type_symbol
_atom_site_fract_x
_atom_site_fract_y
_atom_site_fract_z
B1 B 0.000 0.000 0.000
B2 B 0.087 0.500 0.398
B3 B 0.201 0.000 0.810
B4 B 0.394 0.000 0.608
C1 C 0.002 0.000 0.747
C2 C 0.109 0.500 0.160
C3 C 0.193 0.000 0.548
C4 C 0.296 0.500 0.204
C5 C 0.309 0.500 0.972
C6 C 0.385 0.000 0.335
# ΔE to the lowest computed polymorph = 0.83 eV per formula unit
# E_tot = -156.05 eV for the cell shown
# Formation energy = 2.014 eV/f.u.

(7)
# GGA-PBE ZnCrRu2, optimized geometry
data_ZnCrRu2
_chemical_formula_sum 'Zn3 Cr3 Ru6'
_symmetry_space_group_name_H-M 'R 3 m'
_symmetry_Int_Tables_number 160
_symmetry_space_group_name_Hall 'R 3 -2"'
_cell_length_a 2.7088
_cell_length_b 2.7088
_cell_length_c 25.5224
_cell_angle_alpha 90.00
_cell_angle_beta 90.00
_cell_angle_gamma 120.00
loop_
_atom_site_label
_atom_site_type_symbol
_atom_site_fract_x
_atom_site_fract_y
_atom_site_fract_z
Zn1 Zn 0.0000 0.0000 0.0000
Cr1 Cr 0.0000 0.0000 0.8335
Ru1 Ru 0.0000 0.0000 0.2455
Ru2 Ru 0.0000 0.0000 0.4212
# E_tot = -87.93 eV for the cell shown
# Formation energy = 0.137 eV/f.u.

(8)
# GGA-PBE Pm4TlHg5, optimized geometry
data_Pm4TlHg5
_chemical_formula_sum 'Pm4 Tl1 Hg5'
_symmetry_space_group_name_H-M 'P 4/m m m'
_symmetry_Int_Tables_number 123
_symmetry_space_group_name_Hall '-P 4 2'
_cell_length_a 3.869
_cell_length_b 3.869
_cell_length_c 18.333
_cell_angle_alpha 90.00
_cell_angle_beta 90.00
_cell_angle_gamma 90.00
loop_
_atom_site_label
_atom_site_type_symbol
_atom_site_fract_x
_atom_site_fract_y
_atom_site_fract_z
Pm1 Pm 0.000 0.000 0.102
Pm2 Pm 0.000 0.000 0.306
Tl1 Tl 0.000 0.000 0.500
Hg1 Hg 0.500 0.500 0.000
Hg2 Hg 0.500 0.500 0.202
Hg3 Hg 0.500 0.500 0.401
# E_tot = -26.90 eV for the cell shown
# Formation energy = -4.024 eV/f.u.

Respective magnetization values: 0.00, 20.20, 0.00, 7.01, 0.00, 0.00, 0.00, 1.01 μB per formula unit.